1.
Entry from OQMD via LeMat-Bulk: a relaxed Y2HoCu4Sn4 crystal (PBE-GGA).

Results
Magnetization, μB/cell: 0.002
E_tot, eV/atom: -4.918

Cell and atoms, written as CIF:
```
data_Y2HoCu4Sn4
_chemical_formula_sum 'Y2 Ho1 Cu4 Sn4'
_space_group_name_H-M_alt 'P 1'
_space_group_IT_number 1
_space_group_name_Hall 'P 1'
_cell_length_a 8.4228
_cell_length_b 8.4228
_cell_length_c 8.4228
_cell_angle_alpha 149.29
_cell_angle_beta 131.34
_cell_angle_gamma 58.65
loop_
_atom_site_label
_atom_site_fract_x
_atom_site_fract_y
_atom_site_fract_z
Cu1 0.6407 0.3289 0.3118
Cu2 0.9829 0.6711 0.3118
Cu3 0.0171 0.3289 0.6882
Cu4 0.3593 0.6711 0.6882
Ho1 0.0000 0.0000 0.0000
Sn1 0.2161 0.2161 0.0000
Sn2 0.7839 0.7839 0.0000
Sn3 0.7038 0.5000 0.2038
Sn4 0.2962 0.5000 0.7962
Y1 0.6308 0.1308 0.5000
Y2 0.3692 0.8692 0.5000
```


2.
Entry from OQMD via LeMat-Bulk: a relaxed GeAsPd2 crystal (PBE-GGA).

Results
E_tot, eV/atom: -5.292

Cell and atoms, written as CIF:
```
data_GeAsPd2
_chemical_formula_sum 'Ge2 As2 Pd4'
_space_group_name_H-M_alt 'P 1'
_space_group_IT_number 1
_space_group_name_Hall 'P 1'
_cell_length_a 3.7205
_cell_length_b 6.3537
_cell_length_c 5.7875
_cell_angle_alpha 90.00
_cell_angle_beta 90.00
_cell_angle_gamma 90.00
loop_
_atom_site_label
_atom_site_fract_x
_atom_site_fract_y
_atom_site_fract_z
As1 0.0000 0.1699 0.1916
As2 0.0000 0.8301 0.6916
Ge1 0.5000 0.6671 0.3092
Ge2 0.5000 0.3329 0.8092
Pd1 0.0000 0.5545 0.0048
Pd2 0.5000 0.0558 0.4944
Pd3 0.0000 0.4455 0.5048
Pd4 0.5000 0.9442 0.9944
```


3.
Entry from OQMD via LeMat-Bulk: a relaxed KIn3Ga3Au4 crystal (PBE-GGA).

Results
E_tot, eV/atom: -3.123

Cell and atoms, written as CIF:
```
data_KIn3Ga3Au4
_chemical_formula_sum 'K1 In3 Ga3 Au4'
_space_group_name_H-M_alt 'P 1'
_space_group_IT_number 1
_space_group_name_Hall 'P 1'
_cell_length_a 8.0073
_cell_length_b 8.0073
_cell_length_c 4.3937
_cell_angle_alpha 90.00
_cell_angle_beta 90.00
_cell_angle_gamma 120.00
loop_
_atom_site_label
_atom_site_fract_x
_atom_site_fract_y
_atom_site_fract_z
Au1 0.3333 0.6667 0.0000
Au2 0.3809 0.1904 0.5000
Au3 0.8096 0.1904 0.5000
Au4 0.8096 0.6191 0.5000
Ga1 0.2014 0.4029 0.5000
Ga2 0.2014 0.7986 0.5000
Ga3 0.5971 0.7986 0.5000
In1 0.5343 0.0686 0.0000
In2 0.5343 0.4657 0.0000
In3 0.9314 0.4657 0.0000
K1 0.0000 0.0000 0.0000
```


4.
Entry from OQMD via LeMat-Bulk: a relaxed MgSiMoW crystal (PBE-GGA).

Results
Magnetization, μB/cell: 0.035
E_tot, eV/atom: -7.224

Cell and atoms, written as CIF:
```
data_MgSiMoW
_chemical_formula_sum 'Mg1 Si1 Mo1 W1'
_space_group_name_H-M_alt 'P 1'
_space_group_IT_number 1
_space_group_name_Hall 'P 1'
_cell_length_a 4.4079
_cell_length_b 4.4079
_cell_length_c 4.4079
_cell_angle_alpha 60.00
_cell_angle_beta 60.00
_cell_angle_gamma 60.00
loop_
_atom_site_label
_atom_site_fract_x
_atom_site_fract_y
_atom_site_fract_z
Mg1 0.7500 0.7500 0.7500
Mo1 0.5000 0.5000 0.5000
Si1 0.2500 0.2500 0.2500
W1 0.0000 0.0000 0.0000
```


5.
Entry from OQMD via LeMat-Bulk: a relaxed TbZnPd crystal (PBE-GGA).

Results
Magnetization, μB/cell: 0.013
Calculated formation energy, eV per atom: -0.4056

Cell and atoms, written as CIF:
```
data_TbZnPd
_chemical_formula_sum 'Tb3 Zn3 Pd3'
_space_group_name_H-M_alt 'P 1'
_space_group_IT_number 1
_space_group_name_Hall 'P 1'
_cell_length_a 7.8403
_cell_length_b 7.8403
_cell_length_c 3.3208
_cell_angle_alpha 90.00
_cell_angle_beta 90.00
_cell_angle_gamma 120.00
loop_
_atom_site_label
_atom_site_fract_x
_atom_site_fract_y
_atom_site_fract_z
Pd1 0.6255 0.0000 0.0000
Pd2 0.3745 0.3745 0.0000
Pd3 0.0000 0.6255 0.0000
Tb1 0.2892 0.0000 0.5000
Tb2 0.0000 0.2891 0.5000
Tb3 0.7108 0.7109 0.5000
Zn1 0.0000 0.0000 0.0000
Zn2 0.6667 0.3333 0.5000
Zn3 0.3333 0.6667 0.5000
```


6.
Entry from OQMD via LeMat-Bulk: a relaxed SrReAsO crystal (PBE-GGA).

Results
Magnetization, μB/cell: 0.232
E_tot, eV/atom: -5.574

Cell and atoms, written as CIF:
```
data_SrReAsO
_chemical_formula_sum 'Sr2 Re2 As2 O2'
_space_group_name_H-M_alt 'P 1'
_space_group_IT_number 1
_space_group_name_Hall 'P 1'
_cell_length_a 4.2352
_cell_length_b 4.2352
_cell_length_c 7.6868
_cell_angle_alpha 90.00
_cell_angle_beta 90.00
_cell_angle_gamma 90.00
loop_
_atom_site_label
_atom_site_fract_x
_atom_site_fract_y
_atom_site_fract_z
As1 0.0000 0.5000 0.2208
As2 0.5000 0.0000 0.7792
O1 0.0000 0.0000 0.0000
O2 0.5000 0.5000 0.0000
Re1 0.5000 0.0000 0.0990
Re2 0.0000 0.5000 0.9010
Sr1 0.0000 0.0000 0.5000
Sr2 0.5000 0.5000 0.5000
```


7.
Entry from OQMD via LeMat-Bulk: a relaxed Co2AgPb crystal (PBE-GGA).

Results
Magnetization, μB/cell: 0.000
E_tot, eV/atom: -4.556

Cell and atoms, written as CIF:
```
data_Co2AgPb
_chemical_formula_sum 'Co4 Ag2 Pb2'
_space_group_name_H-M_alt 'P 1'
_space_group_IT_number 1
_space_group_name_Hall 'P 1'
_cell_length_a 7.5874
_cell_length_b 7.5874
_cell_length_c 5.1726
_cell_angle_alpha 95.82
_cell_angle_beta 95.82
_cell_angle_gamma 28.30
loop_
_atom_site_label
_atom_site_fract_x
_atom_site_fract_y
_atom_site_fract_z
Ag1 0.0000 0.0000 0.0000
Ag2 0.5000 0.5000 0.5000
Co1 0.6335 0.6335 0.1814
Co2 0.1230 0.1230 0.4181
Co3 0.8770 0.8770 0.5819
Co4 0.3665 0.3665 0.8186
Pb1 0.2907 0.2907 0.2573
Pb2 0.7093 0.7093 0.7427
```


8.
Entry from OQMD via LeMat-Bulk: a relaxed HfB4Pd crystal (PBE-GGA).

Results
Magnetization, μB/cell: 0.001
E_tot, eV/atom: -7.355

Cell and atoms, written as CIF:
```
data_HfB4Pd
_chemical_formula_sum 'Hf1 B4 Pd1'
_space_group_name_H-M_alt 'P 1'
_space_group_IT_number 1
_space_group_name_Hall 'P 1'
_cell_length_a 4.7313
_cell_length_b 4.7313
_cell_length_c 4.7313
_cell_angle_alpha 141.72
_cell_angle_beta 112.17
_cell_angle_gamma 80.66
loop_
_atom_site_label
_atom_site_fract_x
_atom_site_fract_y
_atom_site_fract_z
B1 0.5822 0.2631 0.3192
B2 0.0561 0.7369 0.3192
B3 0.9439 0.2631 0.6808
B4 0.4178 0.7369 0.6808
Hf1 0.0000 0.0000 0.0000
Pd1 0.5000 0.5000 0.0000
```